Entry 1:
Co2SiH2 | PBE | relaxed

Values from the calculation:
- space-group type = P4/mbm (127)
- crystal system = tetragonal
- uncorrected energy (eV per cell) = -52.5

Cell lengths 5.438, 5.438, 2.669 Å; angles 90.00, 90.00, 90.00 degrees
Element x y z (fractional)
H 0.415 0.915 0.000
H 0.915 0.585 0.000
H 0.585 0.085 0.000
H 0.085 0.415 0.000
Si 0.000 0.000 0.000
Si 0.500 0.500 0.000
Co 0.307 0.807 0.500
Co 0.807 0.693 0.500
Co 0.693 0.193 0.500
Co 0.193 0.307 0.500

***

Entry 2:
PrSi3N5 | PBE | relaxed

Values from the calculation:
- space-group type = P2_12_12_1 (19)
- crystal system = orthorhombic
- uncorrected energy (eV per cell) = -295.2

Cell lengths 4.814, 7.883, 11.328 Å; angles 90.00, 90.00, 90.00 degrees
Element x y z (fractional)
Pr 0.504 0.060 0.171
Pr 0.996 0.940 0.671
Pr 0.496 0.560 0.329
Pr 0.004 0.440 0.829
Si 0.016 0.207 0.417
Si 0.484 0.793 0.917
Si 0.984 0.707 0.083
Si 0.516 0.293 0.583
Si 0.524 0.467 0.041
Si 0.976 0.533 0.541
Si 0.476 0.967 0.459
Si 0.024 0.033 0.959
Si 0.015 0.337 0.161
Si 0.485 0.663 0.661
Si 0.985 0.837 0.339
Si 0.515 0.163 0.839
N 0.168 0.292 0.295
N 0.332 0.708 0.795
N 0.832 0.792 0.205
N 0.668 0.208 0.705
N 0.185 0.518 0.094
N 0.315 0.482 0.594
N 0.815 0.018 0.406
N 0.685 0.982 0.906
N 0.670 0.388 0.167
N 0.830 0.612 0.667
N 0.330 0.888 0.333
N 0.170 0.112 0.833
N 0.045 0.156 0.081
N 0.455 0.844 0.581
N 0.955 0.656 0.419
N 0.545 0.344 0.919
N 0.295 0.150 0.511
N 0.205 0.850 0.011
N 0.705 0.650 0.989
N 0.795 0.350 0.489

***

Entry 3:
NaSrPrI6 | PBE | relaxed

Values from the calculation:
- space-group type = P4_2nm (102)
- crystal system = tetragonal
- uncorrected energy (eV per cell) = -60.3

Cell lengths 7.673, 7.673, 14.425 Å; angles 90.00, 90.00, 90.00 degrees
Element x y z (fractional)
Na 0.500 0.500 0.167
Na 0.000 0.000 0.667
Sr 0.500 0.500 0.499
Sr 0.000 0.000 0.999
Pr 0.500 0.500 0.833
Pr 0.000 0.000 0.333
I 0.194 0.806 0.496
I 0.806 0.194 0.496
I 0.306 0.306 0.996
I 0.694 0.694 0.996
I 0.197 0.803 0.173
I 0.803 0.197 0.173
I 0.303 0.303 0.673
I 0.697 0.697 0.673
I 0.793 0.207 0.831
I 0.207 0.793 0.831
I 0.707 0.707 0.331
I 0.293 0.293 0.331

***

Entry 4:
NaScO2F | PBE | relaxed

Values from the calculation:
- space-group type = P4/mmm (123)
- crystal system = tetragonal
- uncorrected energy (eV per cell) = -26.2

Cell lengths 3.989, 3.989, 3.790 Å; angles 90.00, 90.00, 90.00 degrees
Element x y z (fractional)
Sc 0.500 0.500 0.500
Na 0.000 0.000 0.000
O 0.000 0.500 0.000
O 0.500 0.000 0.000
F 0.000 0.000 0.500

***

Entry 5:
MnPt2I | PBE | relaxed

Values from the calculation:
- space-group type = I-42d (122)
- crystal system = tetragonal
- uncorrected energy (eV per cell) = -42.9

Cell lengths 7.489, 7.489, 5.964 Å; angles 51.10, 51.10, 90.00 degrees
Element x y z (fractional)
I 0.000 0.000 0.000
I 0.750 0.250 0.500
Mn 0.500 0.500 0.000
Mn 0.250 0.750 0.500
Pt 0.603 0.125 0.250
Pt 0.147 0.625 0.250
Pt 0.375 0.397 0.750
Pt 0.875 0.853 0.750

***

Entry 6:
BaHfTeI2 | PBE | relaxed

Values from the calculation:
- space-group type = P4/mmm (123)
- crystal system = tetragonal
- uncorrected energy (eV per cell) = -21.9

Cell lengths 5.690, 5.690, 5.682 Å; angles 90.00, 90.00, 90.00 degrees
Element x y z (fractional)
I 0.000 0.500 0.000
I 0.500 0.000 0.000
Te 0.000 0.000 0.500
Hf 0.000 0.000 0.000
Ba 0.500 0.500 0.500

***

Entry 7:
YAg2Br | PBE | relaxed

Values from the calculation:
- space-group type = Pm (6)
- crystal system = monoclinic
- uncorrected energy (eV per cell) = -15.7

Cell lengths 3.534, 3.543, 8.212 Å; angles 77.93, 90.00, 90.00 degrees
Element x y z (fractional)
Y 0.500 0.674 0.774
Br 0.000 0.284 0.548
Ag 0.000 0.062 0.004
Ag 0.500 0.480 0.173

***

Entry 8:
TaAgRu2 | PBE | relaxed

Values from the calculation:
- space-group type = Cm (8)
- crystal system = monoclinic
- formation energy from the elements (eV per atom) = 0.20

Cell lengths 4.942, 4.942, 4.709 Å; angles 78.65, 78.65, 34.15 degrees
Element x y z (fractional)
Ag 0.253 0.253 0.247
Ru 0.009 0.009 0.979
Ru 0.743 0.743 0.759
Ta 0.494 0.494 0.515

***

Entry 9:
Mg2CdCl | PBE | relaxed

Values from the calculation:
- space-group type = Cmmm (65)
- crystal system = orthorhombic
- uncorrected energy (eV per cell) = -7.7

Cell lengths 3.465, 3.465, 8.614 Å; angles 90.00, 90.00, 117.88 degrees
Element x y z (fractional)
Cd 0.500 0.500 0.250
Cl 0.500 0.500 0.750
Mg 0.000 0.000 0.992
Mg 0.000 0.000 0.508

***

Entry 10:
RbNaAgF6 | PBE | relaxed

Values from the calculation:
- space-group type = P1 (1)
- crystal system = triclinic
- uncorrected energy (eV per cell) = -32.4

Cell lengths 5.804, 6.002, 5.889 Å; angles 90.76, 90.34, 58.71 degrees
Element x y z (fractional)
Rb 0.000 0.000 0.001
Na 0.648 0.676 0.501
Ag 0.332 0.334 0.500
F 0.043 0.345 0.315
F 0.357 0.032 0.712
F 0.608 0.348 0.685
F 0.042 0.614 0.684
F 0.360 0.609 0.288
F 0.609 0.042 0.315

***

Entry 11:
MnPd2 | PBE | relaxed

Values from the calculation:
- space-group type = Fd-3m (227)
- crystal system = cubic
- formation energy from the elements (eV per atom) = 0.09

Cell lengths 5.212, 5.212, 5.212 Å; angles 60.00, 60.00, 60.00 degrees
Element x y z (fractional)
Mn 0.000 0.000 0.000
Mn 0.250 0.250 0.250
Pd 0.125 0.625 0.625
Pd 0.625 0.125 0.625
Pd 0.625 0.625 0.625
Pd 0.625 0.625 0.125

***

Entry 12:
LiTa2In | PBE | relaxed

Values from the calculation:
- space-group type = R-3m (166)
- crystal system = trigonal
- formation energy from the elements (eV per atom) = 0.41

Cell lengths 10.456, 10.456, 10.456 Å; angles 16.16, 16.16, 16.16 degrees
Element x y z (fractional)
In 0.250 0.250 0.250
Li 0.750 0.750 0.750
Ta 0.999 0.999 0.999
Ta 0.501 0.501 0.501